## AlIn2Pd6 (GGA-PBE)

Data for a relaxed AlIn2Pd6 crystal.

Calculated values
- Density of states at the Fermi level: 2.355 states/eV/f.u.
- Raw total energy: -44.02 eV/f.u.

Cell: 7.450 7.450 3.987 Å, 105.35 105.35 52.88°
Sites, in units of the cell vectors:
Al 0.000 0.000 0.000
In 0.345 0.345 0.345
In 0.655 0.655 0.655
Pd 0.056 0.615 0.836
Pd 0.222 0.778 0.500
Pd 0.385 0.944 0.164
Pd 0.615 0.056 0.836
Pd 0.778 0.222 0.500
Pd 0.944 0.385 0.164